Entry from the Alexandria database: a relaxed structure of Ca2Ac2PmPr (PBE).

Results
Calculated formation energy, eV/atom: 0.043
Calculated volume, Å³/atom: 40.63

a b c (Å): 5.4284 11.5940 7.7469
angles (deg): 90.00 90.00 90.00
Closest atoms and distances in Å follow each position.
Space group Pmc2_1 (No. 26)
Symmetry-distinct sites (fractional):
Ca (0.0000, 0.0032, 0.0000) (multiplicity 2)  6 Ca 3.84-3.91, 5 Ac 3.92-4.00, 1 Pr 3.94
Ca (0.5000, 0.1698, 0.7544) (multiplicity 2)  1 Pm 3.84, 4 Ca 3.84-3.91, 5 Ac 3.84-4.06, 2 Pr 3.94
Ac (0.0000, 0.3421, 0.5025) (multiplicity 2)  3 Pr 3.65-3.99, 4 Pm 3.77-3.84, 2 Ac 3.84, 3 Ca 3.89-4.00
Ac (0.5000, 0.1806, 0.2494) (multiplicity 2)  1 Pm 3.70, 2 Pr 3.76, 7 Ca 3.84-4.06, 2 Ac 3.84
Pm (0.5000, 0.4994, 0.2612) (multiplicity 2)  5 Ac 3.70-3.84, 4 Pr 3.77-3.82, 1 Ca 3.84, 2 Pm 3.87
Pr (0.0000, 0.3432, 0.0170) (multiplicity 2)  5 Ac 3.65-3.99, 4 Pm 3.77-3.82, 3 Ca 3.94



Entry from the Alexandria database: a relaxed structure of Ba2InRe (PBE).

Results
Calculated formation energy, eV/atom: 0.586
Calculated volume, Å³/atom: 32.30

a b c (Å): 4.0018 5.7155 11.2975
angles (deg): 90.00 90.00 90.00
Closest atoms and distances in Å follow each position.
Space group Imm2 (No. 44)
Symmetry-distinct sites (fractional):
Ba (0.0000, 0.0000, 0.0000) (multiplicity 2)  4 Re 3.53, 2 Ba 3.59, 4 In 3.71-3.85
Ba (0.0000, 0.5000, 0.1917) (multiplicity 2)  2 Re 3.38, 2 Ba 3.59, 4 In 3.66
In (0.0000, 0.5000, 0.7911) (multiplicity 2)  2 Re 2.70
Re (0.0000, 0.0000, 0.4511) (multiplicity 2)  2 In 2.70



Entry from the Alexandria database: a relaxed structure of RbSm2Ir (PBE).

Results
Calculated formation energy, eV/atom: -0.278
Calculated volume, Å³/atom: 43.91

a b c (Å): 4.2236 4.2236 34.1079
angles (deg): 90.00 90.00 120.00
Closest atoms and distances in Å follow each position.
Space group R-3m (No. 166, hexagonal axes)
Symmetry-distinct sites (fractional):
Rb (0.0000, 0.0000, 0.0000) (multiplicity 3)  6 Rb 4.22, 2 Sm 4.28
Sm (0.0000, 0.0000, 0.1253) (multiplicity 6)  3 Ir 2.82
Ir (0.0000, 0.0000, 0.5000) (multiplicity 3)  6 Sm 2.82